{"formula": "Mn2TcRh", "functional": "SCAN", "state": "PBEsol geometry", "lattice": [[-2.0585, -1.2774, -0.9658], [-1.4331, -0.4424, 3.6394], [-1.2977, 4.7072, 0.0612]], "species": ["Mn", "Mn", "Tc", "Rh"], "fractional_positions": [[0.0686, 0.5000, 0.1373], [0.1827, 0.0000, 0.3654], [0.7980, 0.5000, 0.5959], [0.4525, 0.0000, 0.9050]], "formation_energy_mev_per_atom": 62, "density_g_cm3": 10.68, "volume_a3_per_atom": 12.08, "sg": "No. 38", "m_tot_mub_per_fu": 0.0}

{"formula": "Mn2TcRh", "functional": "SCAN", "state": "PBEsol geometry", "lattice": [[2.6022, 0.0000, 0.0000], [0.0000, 2.6022, 0.0000], [0.0000, 0.0000, 7.2387]], "species": ["Rh", "Mn", "Mn", "Tc"], "fractional_positions": [[0.0000, 0.0000, 0.4901], [0.5000, 0.5000, 0.2358], [0.0000, 0.0000, 0.0142], [0.5000, 0.5000, 0.7600]], "formation_energy_mev_per_atom": -106, "density_g_cm3": 10.53, "volume_a3_per_atom": 12.25, "sg": "No. 99", "m_tot_mub_per_fu": 1.1}

{"formula": "MnTcRh", "functional": "SCAN", "state": "PBEsol geometry", "lattice": [[2.6177, 0.0000, 0.0000], [0.0000, 3.7059, 0.0000], [-1.3088, -1.8529, 3.9735]], "species": ["Mn", "Tc", "Rh"], "fractional_positions": [[0.9981, 0.9981, 0.9963], [0.3377, 0.3377, 0.6754], [0.6641, 0.6641, 0.3283]], "formation_energy_mev_per_atom": -109, "density_g_cm3": 11.02, "volume_a3_per_atom": 12.85, "sg": "No. 44", "e_above_lowest_polymorph_ev_per_atom": 0.000, "m_tot_mub_per_fu": 2.8}

{"formula": "Mn2TcRh", "functional": "SCAN", "state": "PBEsol geometry", "lattice": [[2.5888, 0.0000, 0.0000], [-1.2944, 4.2343, 0.0046], [0.0000, -0.7744, 4.4754]], "species": ["Rh", "Mn", "Mn", "Tc"], "fractional_positions": [[0.0000, 0.0000, 0.5000], [0.2516, 0.5033, 0.2485], [0.7484, 0.4967, 0.7515], [0.5000, 0.0000, 0.0000]], "formation_energy_mev_per_atom": -14, "density_g_cm3": 10.52, "volume_a3_per_atom": 12.27, "sg": "No. 12", "m_tot_mub_per_fu": 5.5}

{"formula": "Mn3TeRh", "functional": "SCAN", "state": "PBEsol geometry", "lattice": [[4.7196, 0.0000, 0.0000], [0.0000, 4.7196, 0.0000], [0.0000, 0.0000, 4.7196]], "species": ["Mn", "Mn", "Mn", "Rh", "Te"], "fractional_positions": [[0.5000, 0.0000, 0.0000], [0.0000, 0.0000, 0.5000], [0.0000, 0.5000, 0.0000], [0.5000, 0.5000, 0.5000], [0.0000, 0.0000, 0.0000]], "density_g_cm3": 6.24, "volume_a3_per_atom": 21.03, "formation_energy_uncorrected_ev_per_atom": 0.988, "sg": "No. 221", "m_tot_mub_per_fu": 12.2}

{"formula": "Mn2TeRh", "functional": "SCAN", "state": "PBEsol geometry", "lattice": [[3.8010, 0.0000, 0.0000], [0.0000, 3.8008, -0.1302], [-1.9005, -1.7644, 4.1675]], "species": ["Rh", "Te", "Mn", "Mn"], "fractional_positions": [[0.5000, 0.5001, 0.0000], [0.2500, 0.7500, 0.5001], [0.0000, 0.9999, 0.0000], [0.7499, 0.2500, 0.4999]], "density_g_cm3": 9.53, "volume_a3_per_atom": 14.83, "formation_energy_uncorrected_ev_per_atom": -0.174, "sg": "No. 119", "m_tot_mub_per_fu": 7.9}

{"formula": "Mn2TeRh", "functional": "SCAN", "state": "PBEsol geometry", "lattice": [[4.3120, 0.0000, 0.0000], [2.1560, 3.7343, 0.0000], [2.1560, 1.2448, 3.5207]], "species": ["Rh", "Mn", "Mn", "Te"], "fractional_positions": [[0.5000, 0.5000, 0.5000], [0.0000, 0.0000, 0.0000], [0.7500, 0.7500, 0.7500], [0.2500, 0.2500, 0.2500]], "density_g_cm3": 9.97, "volume_a3_per_atom": 14.17, "formation_energy_uncorrected_ev_per_atom": -0.115, "sg": "No. 216", "m_tot_mub_per_fu": 4.9}

{"formula": "TiMnRh2", "functional": "SCAN", "state": "PBEsol geometry", "lattice": [[4.2800, 0.0000, 0.0000], [2.1400, 3.7066, 0.0000], [2.1400, 1.2355, 3.4946]], "species": ["Rh", "Rh", "Mn", "Ti"], "fractional_positions": [[0.7500, 0.7500, 0.7500], [0.2500, 0.2500, 0.2500], [0.5000, 0.5000, 0.5000], [0.0000, 0.0000, 0.0000]], "formation_energy_mev_per_atom": -850, "density_g_cm3": 9.24, "volume_a3_per_atom": 13.86, "sg": "No. 225", "m_tot_mub_per_fu": 4.9}

{"formula": "MnTlRh", "functional": "SCAN", "state": "PBEsol geometry", "lattice": [[-0.6259, -2.6962, -1.2956], [1.8578, -1.6999, 2.6401], [-4.2423, 1.9045, 1.6905]], "species": ["Mn", "Tl", "Rh"], "fractional_positions": [[0.9884, 0.9884, 0.9767], [0.6677, 0.6677, 0.3355], [0.3439, 0.3439, 0.6878]], "formation_energy_mev_per_atom": -124, "density_g_cm3": 12.44, "volume_a3_per_atom": 16.12, "sg": "No. 44", "e_above_lowest_polymorph_ev_per_atom": 0.000, "m_tot_mub_per_fu": 4.3}

{"formula": "MnTlRh", "functional": "SCAN", "state": "PBEsol geometry", "lattice": [[-1.1622, 3.4952, -2.1252], [-2.7957, -0.2834, -3.1917], [-3.9261, 1.5655, 0.4671]], "species": ["Mn", "Rh", "Tl"], "fractional_positions": [[0.2500, 0.2500, 0.2500], [0.0000, 0.0000, 0.0000], [0.5000, 0.5000, 0.5000]], "formation_energy_mev_per_atom": 196, "density_g_cm3": 11.06, "volume_a3_per_atom": 18.13, "sg": "No. 216", "e_above_lowest_polymorph_ev_per_atom": 0.320, "m_tot_mub_per_fu": 4.2}

{"formula": "Mn2TlRhW", "functional": "SCAN", "state": "PBEsol geometry", "lattice": [[-2.8541, 1.7181, -2.9305], [0.1287, -3.7701, -2.3357], [-3.9646, -1.8540, 2.7743]], "species": ["Mn", "Mn", "Tl", "Rh", "W"], "fractional_positions": [[0.5000, 0.0000, 0.0000], [0.0000, 0.5000, 0.0000], [0.0000, 0.0000, 0.5000], [0.5000, 0.5000, 0.5000], [0.0000, 0.0000, 0.0000]], "formation_energy_mev_per_atom": 1464, "density_g_cm3": 9.78, "volume_a3_per_atom": 20.40, "sg": "No. 123", "m_tot_mub_per_fu": 5.6}

{"formula": "TmMnRh2", "functional": "SCAN", "state": "PBEsol geometry", "lattice": [[-4.4556, -0.2554, -0.1584], [-2.0701, -0.4931, -3.9261], [-1.9800, -3.8735, -1.0093]], "species": ["Rh", "Rh", "Mn", "Tm"], "fractional_positions": [[0.2500, 0.2500, 0.2500], [0.7500, 0.7500, 0.7500], [0.0000, 0.0000, 0.0000], [0.5000, 0.5000, 0.5000]], "formation_energy_mev_per_atom": -823, "density_g_cm3": 11.33, "volume_a3_per_atom": 15.74, "sg": "No. 225", "m_tot_mub_per_fu": 4.6}